DFT (PBE) results for an optimized crystal structure of Ca2BiCl.

For the raw formation energy, the calculation gives -1.2479 eV/atom. As for the crystal system: cubic. The value obtained for the electronic total energy is -58.89 eV for the cell shown. For the relative energy among the computed polymorphs, the calculation gives 48 kJ/mol of formula units.

The space group is Fm-3m (No. 225) and the conventional cell measures 7.714, 7.714 and 7.714 Å, with angles of 90.00, 90.00 and 90.00 degrees. Symmetry generates all atoms from Ca at (0.250, 0.250, 0.250), Bi at (0.000, 0.000, 0.000) and Cl at (0.000, 0.000, 0.500).